(1)
NaInH12Se2O14 (PBE, relaxed); space-group type = P-1, No. 2; uncorrected energy = -5.076 eV/atom
1.0
7.310 0.043 -0.018
-2.123 7.003 -0.027
-0.841 -1.142 12.576
Na In H Se O
2 2 24 4 28
Direct
0.918 0.582 0.750
0.082 0.418 0.250
0.500 0.000 0.500
0.500 0.000 0.000
0.912 0.671 0.509
0.088 0.329 0.491
0.777 0.205 0.879
0.223 0.795 0.121
0.782 0.981 0.169
0.218 0.019 0.831
0.749 0.684 0.578
0.251 0.316 0.422
0.518 0.718 0.332
0.482 0.282 0.668
0.294 0.723 0.621
0.706 0.277 0.379
0.887 0.235 0.999
0.113 0.765 0.001
0.815 0.750 0.922
0.185 0.250 0.078
0.731 0.836 0.381
0.269 0.164 0.619
0.828 0.588 0.991
0.172 0.412 0.009
0.735 0.386 0.499
0.265 0.614 0.501
0.662 0.768 0.120
0.338 0.232 0.880
0.422 0.600 0.812
0.578 0.400 0.188
0.900 0.078 0.688
0.100 0.922 0.312
0.561 0.515 0.735
0.439 0.485 0.265
0.660 0.907 0.126
0.340 0.093 0.874
0.260 0.677 0.743
0.740 0.323 0.257
0.709 0.928 0.609
0.291 0.072 0.391
0.824 0.240 0.758
0.176 0.760 0.242
0.593 0.839 0.374
0.407 0.161 0.626
0.986 0.940 0.764
0.014 0.060 0.236
0.938 0.807 0.390
0.062 0.193 0.610
0.757 0.205 0.958
0.243 0.795 0.042
0.308 0.438 0.890
0.692 0.562 0.110
0.829 0.600 0.560
0.171 0.400 0.440
0.572 0.791 0.891
0.428 0.209 0.109
0.899 0.671 0.940
0.101 0.329 0.060
0.294 0.744 0.543
0.706 0.256 0.457

(2)
NaInHPb2 (PBE, relaxed); space-group type = P4/mmm, No. 123; relative energy among the computed polymorphs = 0.071 eV per atom; uncorrected energy = -2.836 eV/atom
1.0
-2.339 4.376 -0.738
-4.354 -2.101 1.338
0.817 1.205 4.552
Pb Na H In
2 1 1 1
Direct
0.000 0.500 0.000
0.500 0.000 0.000
0.500 0.500 0.500
0.000 0.000 0.000
0.000 0.000 0.500

(3)
NaInHPb2 (PBE, relaxed); space-group type = P4/mmm, No. 123; relative energy among the computed polymorphs = 0.000 eV per atom; uncorrected energy = -2.908 eV/atom
1.0
5.033 0.000 0.000
0.000 5.033 0.000
0.000 0.000 4.666
Pb Na H In
2 1 1 1
Direct
0.000 0.500 0.000
0.500 0.000 0.000
0.000 0.000 0.500
0.000 0.000 0.000
0.500 0.500 0.500

(4)
Na2InHPd (PBE, relaxed); space-group type = P4/mmm, No. 123; uncorrected energy = -2.907 eV/atom
1.0
5.099 0.000 0.000
0.000 5.099 0.000
0.000 0.000 3.552
Na H Pd In
2 1 1 1
Direct
0.000 0.500 0.000
0.500 0.000 0.000
0.000 0.000 0.000
0.000 0.000 0.500
0.500 0.500 0.500

The calculation returns the following DOS at the Fermi energy values, one per record and in order: 0.00 2.78 2.08 1.42 states/eV per cell.